Compound: CeGa2MoO8
Source: Alexandria via LeMat-Bulk
Functional: PBE+U
Structure: relaxed

Values from the calculation:
total DFT energy (no corrections)	-0.254	hartree per atom

a = 6.670 Å, b = 6.678 Å, c = 6.475 Å
α = 90.00°, β = 90.00°, γ = 90.00°
Space group Cmmm (No. 65)
Inequivalent atoms, fractional coordinates:
Ce  0.000  0.000  0.000 x2
Ga  0.000  0.500  0.257 x4
Mo  0.000  0.000  0.500 x2
O  0.000  0.200  0.285 x8
O  0.180  0.500  0.000 x4
O  0.202  0.500  0.500 x4